(1)
A geometry-optimized Ce6GeAs3P2 structure, computed with PBE.

Values from the calculation:
* energy of formation: -1.32 eV/atom
* total energy: -161.6 eV/cell

Cell lengths 18.210, 4.175, 8.363 Å; angles 90.00, 103.29, 90.00 degrees
Space group C2/m (No. 12)
Unique sites:
1 Ce 0.002 0.000 0.252
2 Ce 0.168 0.500 0.090
3 Ce 0.169 0.500 0.579
4 Ge 0.000 0.500 0.000
5 As 0.000 0.500 0.500
6 As 0.166 0.000 0.833
7 P 0.167 0.000 0.334

***

(2)
A geometry-optimized Sc2Cd2I structure, computed with PBE.

Values from the calculation:
* energy relative to the elements, uncorrected: -5.5 kcal/mol of atoms
* energy relative to the lowest polymorph listed for this composition: 0.0 meV/atom
* total energy: -34.5 eV/cell

Cell lengths 7.631, 7.631, 4.376 Å; angles 90.00, 90.00, 90.00 degrees
Space group P4/mbm (No. 127)
Unique sites:
1 Sc 0.156 0.344 0.000
2 Cd 0.138 0.638 0.500
3 I 0.000 0.000 0.000

***

(3)
A geometry-optimized ZnGaSeCl2 structure, computed with PBE.

Values from the calculation:
* energy relative to the elements, uncorrected: -6.4 kcal/mol of atoms
* total energy: -12.9 eV/cell

Cell lengths 4.734, 4.734, 5.305 Å; angles 90.00, 90.00, 90.00 degrees
Space group P4/mmm (No. 123)
Unique sites:
1 Zn 0.000 0.000 0.000
2 Ga 0.500 0.500 0.500
3 Se 0.500 0.500 0.000
4 Cl 0.000 0.500 0.500

***

(4)
A geometry-optimized Sr2TlRe structure, computed with PBE.

Values from the calculation:
* energy of formation: 0.77 eV/atom
* energy relative to the lowest polymorph listed for this composition: 156.8 meV/atom
* total energy: -60.5 eV/cell

Cell lengths 7.763, 7.763, 7.763 Å; angles 90.00, 90.00, 90.00 degrees
Space group Fm-3m (No. 225)
Unique sites:
1 Sr 0.250 0.250 0.250
2 Tl 0.000 0.000 0.000
3 Re 0.000 0.000 0.500